A PBEsol-optimized structure of ZrFeOs2. Source: Alexandria via LeMat-Bulk, functional meta-GGA SCAN.

Lattice parameters (Å, degrees): 2.746 4.322 5.113 90.00 99.09 90.00
Element x y z (fractional)
Zr  0.000  0.000  0.000
Fe  0.500  0.000  0.500
Os  0.303  0.500  0.723
Os  0.697  0.500  0.277

Space group: No. 10
ΔE to the lowest computed polymorph in eV/atom: 0.0000
Formation energy from the elements in eV/atom: -0.026